[1]
This record from Alexandria describes a relaxed CaPa2Ga9 crystal. The functional is PBE.

a b c (Å): 4.301 4.301 12.942
angles (deg): 90.00 90.00 90.00
Space group P4/mmm (No. 123)
Inequivalent atoms, fractional coordinates:
Ca: 0.000 0.000 0.000
Pa: 0.000 0.000 0.334
Ga: 0.000 0.500 0.167
Ga: 0.000 0.500 0.500
Ga: 0.500 0.500 0.000
Ga: 0.500 0.500 0.337

Output
The calculated formation energy is -0.3474 eV per atom. For the total energy, the calculation gives -52.40 eV/cell.

***

[2]
This record from Alexandria describes a relaxed CaPaGa2 crystal. The functional is PBE.

a b c (Å): 3.298 3.298 8.342
angles (deg): 90.00 90.00 90.00
Space group P4/mmm (No. 123)
Inequivalent atoms, fractional coordinates:
Ca: 0.000 0.000 0.000
Pa: 0.000 0.000 0.500
Ga: 0.500 0.500 0.256

Output
The calculation puts the distance to the lowest polymorph of the same formula at 0.0 meV per atom. The calculated formation energy is -0.3238 eV per atom. For the total energy, the calculation gives -18.85 eV/cell.

***

[3]
This record from Alexandria describes a relaxed CaPaGaSn crystal. The functional is PBE.

a b c (Å): 7.411 7.411 7.411
angles (deg): 90.00 90.00 90.00
Space group F-43m (No. 216)
Inequivalent atoms, fractional coordinates:
Ca: 0.000 0.000 0.000
Pa: 0.000 0.000 0.500
Ga: 0.250 0.250 0.250
Sn: 0.250 0.250 0.750

Output
The calculated formation energy is -0.1933 eV per atom. For the total energy, the calculation gives -77.20 eV/cell.

***

[4]
This record from Alexandria describes a relaxed CaGaPb crystal. The functional is PBE.

a b c (Å): 10.463 7.411 4.650
angles (deg): 90.00 115.70 90.00
Space group Cm (No. 8)
Inequivalent atoms, fractional coordinates:
Ca: 0.000 0.000 0.000
Ca: 0.097 0.500 0.097
Ga: 0.403 0.186 0.400
Pb: 0.218 0.218 0.718

Output
The calculated formation energy is -0.3410 eV per atom. For the total energy, the calculation gives -39.04 eV/cell.

***

[5]
This record from Alexandria describes a relaxed CaGaPb crystal. The functional is PBE.

a b c (Å): 4.466 6.058 6.676
angles (deg): 76.13 71.38 85.80
Space group P-1 (No. 2)
Inequivalent atoms, fractional coordinates:
Ca: 0.131 0.306 0.242
Ga: 0.213 0.820 0.046
Pb: 0.434 0.211 0.653

Output
The calculated formation energy is -0.3500 eV per atom. For the total energy, the calculation gives -19.57 eV/cell.

***

[6]
This record from Alexandria describes a relaxed Ca4GaPb crystal. The functional is PBE.

a b c (Å): 9.776 14.266 6.592
angles (deg): 90.00 118.41 90.00
Space group C2/c (No. 15)
Inequivalent atoms, fractional coordinates:
Ca: 0.120 0.171 0.078
Ca: 0.207 0.438 0.293
Ga: 0.000 0.007 0.250
Pb: 0.000 0.361 0.750

Output
The calculated formation energy is -0.4084 eV per atom. For the total energy, the calculation gives -68.77 eV/cell.

***

[7]
This record from Alexandria describes a relaxed CaGaPb crystal. The functional is PBE.

a b c (Å): 11.718 4.601 8.005
angles (deg): 90.00 130.92 90.00
Space group Cm (No. 8)
Inequivalent atoms, fractional coordinates:
Ca: 0.000 0.000 0.000
Ca: 0.061 0.500 0.452
Ga: 0.094 0.500 0.863
Ga: 0.290 0.000 0.553
Pb: 0.262 0.000 0.905
Pb: 0.312 0.500 0.350

Output
The calculated formation energy is -0.3604 eV per atom. For the total energy, the calculation gives -39.27 eV/cell.

***

[8]
This record from Alexandria describes a relaxed CaGaPb crystal. The functional is PBE.

a b c (Å): 7.065 7.065 7.065
angles (deg): 90.00 90.00 90.00
Space group F-43m (No. 216)
Inequivalent atoms, fractional coordinates:
Ca: 0.000 0.000 0.000
Ga: 0.250 0.250 0.750
Pb: 0.000 0.000 0.500

Output
The calculated formation energy is -0.2725 eV per atom. For the total energy, the calculation gives -38.22 eV/cell.